No. 1
Nd3Pd: optimized geometry, PBE.

## Properties
- final energy (eV per atom) = -5.217
- volume (Å³ per cell) = 470.8

abc: 6.1822 9.2508 9.2514
angles: 83.69 70.61 70.62
With the nearest neighbours (Å) after each atom.
Space group P1 (No. 1)
Symmetry-distinct sites (fractional):
Nd  0.0000  0.0000  0.0000 (multiplicity 1)  4 Pd 3.06-3.18
Nd  0.0005  0.2836  0.7156 (multiplicity 1)  4 Pd 3.06-3.18
Nd  0.0743  0.6415  0.7678 (multiplicity 1)  2 Pd 3.09-3.10
Nd  0.1558  0.8317  0.3588 (multiplicity 1)  2 Pd 3.15-3.16, 3 Nd 3.32-3.50
Nd  0.3442  0.4518  0.3575 (multiplicity 1)  2 Pd 3.16, 3 Nd 3.32-3.50
Nd  0.3585  0.2840  0.9995 (multiplicity 1)  4 Pd 3.06-3.19
Nd  0.4837  0.6427  0.9475 (multiplicity 1)  2 Pd 3.09-3.10
Nd  0.5165  0.0521  0.3581 (multiplicity 1)  2 Pd 3.09-3.10
Nd  0.6428  0.9996  0.7160 (multiplicity 1)  4 Pd 3.06-3.19
Nd  0.6572  0.6409  0.5478 (multiplicity 1)  2 Pd 3.16-3.17, 3 Nd 3.32-3.50
Nd  0.8445  0.6418  0.1679 (multiplicity 1)  2 Pd 3.15-3.16, 3 Nd 3.32-3.50
Nd  0.9271  0.2318  0.3570 (multiplicity 1)  2 Pd 3.09-3.10
Pd  0.2043  0.9381  0.6553 (multiplicity 1)  8 Nd 3.06-3.19
Pd  0.4997  0.9390  0.0614 (multiplicity 1)  8 Nd 3.06-3.18
Pd  0.5006  0.3445  0.6542 (multiplicity 1)  8 Nd 3.06-3.18
Pd  0.7972  0.3452  0.0606 (multiplicity 1)  8 Nd 3.06-3.19

No. 2
Ba6Sb2SeI3: optimized geometry, PBE.

## Properties
- final energy (eV per atom) = -3.836
- E_form (uncorrected) (eV per atom) = -1.51
- volume (Å³ per cell) = 1068.2

abc: 8.6217 14.9372 8.7787
angles: 90.00 109.12 90.00
With the nearest neighbours (Å) after each atom.
Space group C2/m (No. 12)
Symmetry-distinct sites (fractional):
Ba  0.2362  0.1638  0.2175 (multiplicity 8)  1 Se 3.35, 2 Sb 3.41-3.42, 3 I 3.69-3.73
Ba  0.2452  0.5000  0.2177 (multiplicity 4)  1 Se 3.35, 2 Sb 3.42, 3 I 3.70-3.75
Sb  0.0000  0.3334  0.0000 (multiplicity 4)  6 Ba 3.41-3.42
Se  0.0000  0.0000  0.0000 (multiplicity 2)  6 Ba 3.35
I  0.0000  0.1681  0.5000 (multiplicity 4)  6 Ba 3.69-3.73
I  0.0000  0.5000  0.5000 (multiplicity 2)  6 Ba 3.69-3.75

No. 3
TbPrGe4: optimized geometry, PBE.

## Properties
- polymorph energy (0 for the lowest one) (meV per atom) = 0
- final energy (eV per atom) = -5.213
- volume (Å³ per cell) = 551.8

abc: 7.5029 17.8641 4.1171
angles: 90.00 90.00 90.00
With the nearest neighbours (Å) after each atom.
Space group Pbam (No. 55)
Symmetry-distinct sites (fractional):
Tb  0.2394  0.0479  0.0000 (multiplicity 4)  10 Ge 3.05-3.26
Pr  0.1714  0.3109  0.0000 (multiplicity 4)  10 Ge 3.11-3.43
Ge  0.0175  0.7926  0.5000 (multiplicity 4)  3 Ge 2.53-2.58
Ge  0.0736  0.4369  0.5000 (multiplicity 4)  3 Ge 2.51-2.72
Ge  0.0799  0.9349  0.5000 (multiplicity 4)  3 Ge 2.58-2.62
Ge  0.1854  0.6700  0.5000 (multiplicity 4)  3 Ge 2.53-2.72

No. 4
Nd9SmPb2: optimized geometry, PBE.

## Properties
- final energy (eV per atom) = -4.795
- volume (Å³ per cell) = 390.6

abc: 5.0172 5.0172 15.5168
angles: 90.00 90.00 90.00
With the nearest neighbours (Å) after each atom.
Space group P4/mmm (No. 123)
Symmetry-distinct sites (fractional):
Nd  0.0000  0.0000  0.0000 (multiplicity 1)  4 Sm 3.55, 8 Nd 3.69
Nd  0.0000  0.0000  0.3390 (multiplicity 2)  8 Nd 3.54-3.59, 4 Pb 3.55
Nd  0.0000  0.5000  0.1740 (multiplicity 4)  8 Nd 3.55-3.69, 2 Pb 3.57, 2 Sm 3.69
Nd  0.0000  0.5000  0.5000 (multiplicity 2)  8 Nd 3.54-3.55, 4 Pb 3.56
Sm  0.5000  0.5000  0.0000 (multiplicity 1)  12 Nd 3.55-3.69
Pb  0.5000  0.5000  0.3375 (multiplicity 2)  12 Nd 3.55-3.57

No. 5
La3ScS6: optimized geometry, PBE.

## Properties
- final energy (eV per atom) = -6.701
- E_form (uncorrected) (eV per atom) = -2.11
- volume (Å³ per cell) = 1664.3

abc: 11.8546 11.8546 13.6754
angles: 90.00 90.00 120.00
With the nearest neighbours (Å) after each atom.
Space group R-3 (No. 148, hexagonal axes)
Symmetry-distinct sites (fractional):
La  0.0480  0.7772  0.1983 (multiplicity 18)  6 S 2.86-2.92
Sc  0.0000  0.0000  0.0000 (multiplicity 3)  6 S 2.59
Sc  0.0000  0.0000  0.5000 (multiplicity 3)  6 S 2.63
S  0.0264  0.8250  0.4007 (multiplicity 18)  1 Sc 2.63, 3 La 2.86-2.92
S  0.0307  0.8420  0.8876 (multiplicity 18)  1 Sc 2.59, 2 La 2.86-2.87

No. 6
LaScPb2: optimized geometry, PBE.

## Properties
- final energy (eV per atom) = -5.120
- volume (Å³ per cell) = 111.8

abc: 3.4937 4.4207 7.2412
angles: 90.00 90.11 90.00
With the nearest neighbours (Å) after each atom.
Space group P2/m (No. 10)
Symmetry-distinct sites (fractional):
La  0.0000  0.0000  0.0000 (multiplicity 1)  8 Pb 3.45-3.46, 2 La 3.49, 2 Sc 3.62
Sc  0.0000  0.0000  0.5000 (multiplicity 1)  8 Pb 3.24-3.25, 2 Sc 3.49, 2 La 3.62
Pb  0.4980  0.5000  0.2771 (multiplicity 2)  3 Pb 3.23-3.49, 4 Sc 3.24-3.25, 4 La 3.45-3.46

No. 7
SrScB: optimized geometry, PBE.

## Properties
- polymorph energy (0 for the lowest one) (meV per atom) = 649
- final energy (eV per atom) = -4.383
- volume (Å³ per cell) = 277.7

abc: 6.5238 6.5238 6.5238
angles: 90.00 90.00 90.00
With the nearest neighbours (Å) after each atom.
Space group F-43m (No. 216)
Symmetry-distinct sites (fractional):
Sr  0.0000  0.0000  0.0000 (multiplicity 4)  4 B 2.82
Sc  0.0000  0.0000  0.5000 (multiplicity 4)  4 B 2.82
B  0.2500  0.2500  0.7500 (multiplicity 4)  4 Sc 2.82, 4 Sr 2.82

No. 8
ZrReW2: optimized geometry, PBE.

## Properties
- polymorph energy (0 for the lowest one) (meV per atom) = 74
- final energy (eV per atom) = -11.707
- volume (Å³ per cell) = 134.9

abc: 5.5617 9.1633 2.8055
angles: 90.00 109.39 90.00
With the nearest neighbours (Å) after each atom.
Space group C2/m (No. 12)
Symmetry-distinct sites (fractional):
Zr  0.0000  0.0000  0.0000 (multiplicity 2)  2 Re 2.78, 4 W 2.80, 2 Zr 2.81
Re  0.0000  0.5000  0.0000 (multiplicity 2)  2 Zr 2.78, 4 W 2.80, 2 Re 2.81
W  0.2500  0.2500  0.5000 (multiplicity 4)  4 W 2.78-2.81, 2 Zr 2.80, 2 Re 2.80